1.
Here is a geometry-optimized AgIrSe2 structure from the Alexandria database. Energies are from PBE.

Results
* uncorrected formation energy: 0.37 eV per atom
* space group: Cmm2 (35)
* crystal system: orthorhombic
* calculated density: 9.898 g cm⁻³

```
data_AgIrSe2
_cell_length_a 2.952
_cell_length_b 2.952
_cell_length_c 10.382
_cell_angle_alpha 90.00
_cell_angle_beta 90.00
_cell_angle_gamma 121.84
_space_group_name_H-M_alt 'P 1'
_space_group_IT_number 1
loop_
_space_group_symop_operation_xyz
'x,y,z'
loop_
_atom_site_label
_atom_site_fract_x
_atom_site_fract_y
_atom_site_fract_z
Ag1 0.000 0.000 0.000
Ir1 0.500 0.500 0.234
Se1 0.000 0.000 0.429
Se2 0.500 0.500 0.761
```

2.
Here is a geometry-optimized AgIr4Se structure from the Alexandria database. Energies are from PBE.

Results
* uncorrected formation energy: 0.74 eV per atom
* space group: F-43m (216)
* crystal system: cubic
* calculated density: 15.577 g cm⁻³

```
data_AgIr4Se
_cell_length_a 5.242
_cell_length_b 5.242
_cell_length_c 5.242
_cell_angle_alpha 60.00
_cell_angle_beta 60.00
_cell_angle_gamma 60.00
_space_group_name_H-M_alt 'P 1'
_space_group_IT_number 1
loop_
_space_group_symop_operation_xyz
'x,y,z'
loop_
_atom_site_label
_atom_site_fract_x
_atom_site_fract_y
_atom_site_fract_z
Ag1 0.000 0.000 0.000
Ir1 0.125 0.625 0.625
Ir2 0.625 0.125 0.625
Ir3 0.625 0.625 0.125
Ir4 0.625 0.625 0.625
Se1 0.250 0.250 0.250
```

3.
Here is a geometry-optimized AgIr2Se structure from the Alexandria database. Energies are from PBE.

Results
* uncorrected formation energy: 0.62 eV per atom
* space group: Pmmm (47)
* crystal system: orthorhombic
* calculated density: 14.482 g cm⁻³

```
data_AgIr2Se
_cell_length_a 2.815
_cell_length_b 4.816
_cell_length_c 4.831
_cell_angle_alpha 90.00
_cell_angle_beta 90.00
_cell_angle_gamma 90.00
_space_group_name_H-M_alt 'P 1'
_space_group_IT_number 1
loop_
_space_group_symop_operation_xyz
'x,y,z'
loop_
_atom_site_label
_atom_site_fract_x
_atom_site_fract_y
_atom_site_fract_z
Ag1 0.000 0.000 0.000
Ir1 0.000 0.500 0.500
Ir2 0.500 0.000 0.500
Se1 0.500 0.500 0.000
```

Number 1 is which compound?
AgIrSe2

Which formula does entry 3 have?
AgIr2Se

The highest calculated density belongs to which entry?
AgIr4Se